[1]
Ca2BeTl | PBE | optimized geometry

Geometry as CIF:
```
data_Ca2BeTl
_chemical_formula_sum 'Ca8 Be4 Tl4'
_cell_length_a 7.454
_cell_length_b 7.454
_cell_length_c 7.454
_cell_angle_alpha 90.00
_cell_angle_beta 90.00
_cell_angle_gamma 90.00
_space_group_name_H-M_alt 'F m -3 m'
_space_group_IT_number 225
_space_group_name_Hall '-F 4 2 3'
loop_
_atom_site_label
_atom_site_type_symbol
_atom_site_fract_x
_atom_site_fract_y
_atom_site_fract_z
Ca1 Ca 0.250 0.250 0.250
Be1 Be 0.000 0.000 0.000
Tl1 Tl 0.000 0.000 0.500
```

Summary:
The calculation puts the energy relative to the lowest polymorph listed for this composition at 2.8 kJ per mole of atoms. Its formation energy from the elements is 0.02 eV/atom. The value obtained for the final energy is -0.0920 hartree per atom. As for the volume: 414.2 Å³ per cell.


[2]
DyZr2Cd | PBE | optimized geometry

Geometry as CIF:
```
data_DyZr2Cd
_chemical_formula_sum 'Dy1 Zr2 Cd1'
_cell_length_a 4.546
_cell_length_b 4.546
_cell_length_c 4.623
_cell_angle_alpha 90.00
_cell_angle_beta 90.00
_cell_angle_gamma 90.00
_space_group_name_H-M_alt 'P 4/m m m'
_space_group_IT_number 123
_space_group_name_Hall '-P 4 2'
loop_
_atom_site_label
_atom_site_type_symbol
_atom_site_fract_x
_atom_site_fract_y
_atom_site_fract_z
Dy1 Dy 0.000 0.000 0.000
Zr1 Zr 0.000 0.500 0.500
Cd1 Cd 0.500 0.500 0.000
```

Summary:
The calculation puts the energy relative to the lowest polymorph listed for this composition at 0.0 kJ per mole of atoms. Its formation energy from the elements is -0.01 eV/atom. The value obtained for the final energy is -0.2081 hartree per atom. As for the volume: 95.5 Å³ per cell.


[3]
Pm2AgH | PBE | optimized geometry

Geometry as CIF:
```
data_Pm2AgH
_chemical_formula_sum 'Pm2 Ag1 H1'
_cell_length_a 3.373
_cell_length_b 3.373
_cell_length_c 7.466
_cell_angle_alpha 90.00
_cell_angle_beta 90.00
_cell_angle_gamma 90.00
_space_group_name_H-M_alt 'P 4/m m m'
_space_group_IT_number 123
_space_group_name_Hall '-P 4 2'
loop_
_atom_site_label
_atom_site_type_symbol
_atom_site_fract_x
_atom_site_fract_y
_atom_site_fract_z
Pm1 Pm 0.000 0.000 0.221
Ag1 Ag 0.500 0.500 0.500
H1 H 0.500 0.500 0.000
```

Summary:
The calculation puts the energy relative to the lowest polymorph listed for this composition at 19.6 kJ per mole of atoms. The value obtained for the final energy is -0.1441 hartree per atom. As for the volume: 84.9 Å³ per cell.


[4]
Li3NdAs2 | PBE | optimized geometry

Geometry as CIF:
```
data_Li3NdAs2
_chemical_formula_sum 'Li18 Nd6 As12'
_cell_length_a 16.441
_cell_length_b 4.122
_cell_length_c 10.242
_cell_angle_alpha 90.00
_cell_angle_beta 100.97
_cell_angle_gamma 90.00
_space_group_name_H-M_alt 'C 1 2/m 1'
_space_group_IT_number 12
_space_group_name_Hall '-C 2y'
loop_
_atom_site_label
_atom_site_type_symbol
_atom_site_fract_x
_atom_site_fract_y
_atom_site_fract_z
Li1 Li 0.000 0.000 0.000
Li2 Li 0.051 0.500 0.840
Li3 Li 0.122 0.000 0.730
Li4 Li 0.182 0.000 0.490
Li5 Li 0.210 0.500 0.906
Nd1 Nd 0.000 0.500 0.500
Nd2 Nd 0.166 0.500 0.217
As1 As 0.044 0.000 0.307
As2 As 0.143 0.000 0.990
As3 As 0.193 0.500 0.648
```

Summary:
The calculation puts the energy relative to the lowest polymorph listed for this composition at 7.3 kJ per mole of atoms. Its formation energy from the elements is -0.92 eV/atom. The value obtained for the final energy is -0.1551 hartree per atom. As for the volume: 681.3 Å³ per cell.


[5]
Rb4UBr10 | PBE | optimized geometry

Geometry as CIF:
```
data_Rb4UBr10
_chemical_formula_sum 'Rb8 U2 Br20'
_cell_length_a 12.612
_cell_length_b 12.612
_cell_length_c 7.667
_cell_angle_alpha 90.00
_cell_angle_beta 90.00
_cell_angle_gamma 90.00
_space_group_name_H-M_alt 'I 4/m'
_space_group_IT_number 87
_space_group_name_Hall '-I 4'
loop_
_atom_site_label
_atom_site_type_symbol
_atom_site_fract_x
_atom_site_fract_y
_atom_site_fract_z
Rb1 Rb 0.101 0.699 0.000
U1 U 0.000 0.000 0.500
Br1 Br 0.000 0.500 0.250
Br2 Br 0.087 0.165 0.284
```

Summary:
The value obtained for the final energy is -0.1265 hartree per atom. For the uncorrected formation energy, the calculation gives -1.316 eV per atom. As for the volume: 1219.5 Å³ per cell.


[6]
TbPrSm3Dy | PBE | optimized geometry

Geometry as CIF:
```
data_TbPrSm3Dy
_chemical_formula_sum 'Tb4 Pr4 Sm12 Dy4'
_cell_length_a 20.375
_cell_length_b 5.767
_cell_length_c 6.909
_cell_angle_alpha 90.00
_cell_angle_beta 90.24
_cell_angle_gamma 90.00
_space_group_name_H-M_alt 'C 1 2/m 1'
_space_group_IT_number 12
_space_group_name_Hall '-C 2y'
loop_
_atom_site_label
_atom_site_type_symbol
_atom_site_fract_x
_atom_site_fract_y
_atom_site_fract_z
Tb1 Tb 0.146 0.000 0.466
Pr1 Pr 0.145 0.000 0.023
Sm1 Sm 0.020 0.000 0.744
Sm2 Sm 0.160 0.500 0.737
Sm3 Sm 0.220 0.500 0.248
Dy1 Dy 0.057 0.500 0.264
```

Summary:
Its formation energy from the elements is 0.19 eV/atom. The value obtained for the final energy is -0.1654 hartree per atom. As for the volume: 811.8 Å³ per cell.


[7]
Tb12Tm6Pu | PBE | optimized geometry

Geometry as CIF:
```
data_Tb12Tm6Pu
_chemical_formula_sum 'Tb36 Tm18 Pu3'
_cell_length_a 15.3789
_cell_length_b 15.3789
_cell_length_c 8.6346
_cell_angle_alpha 90.00
_cell_angle_beta 90.00
_cell_angle_gamma 120.00
_space_group_name_H-M_alt 'R -3'
_space_group_IT_number 148
_space_group_name_Hall '-R 3'
loop_
_atom_site_label
_atom_site_type_symbol
_atom_site_fract_x
_atom_site_fract_y
_atom_site_fract_z
Tb1 Tb 0.0354 0.7552 0.3362
Tb2 Tb 0.0724 0.5108 0.6668
Tm1 Tm 0.0173 0.8787 0.6682
Pu1 Pu 0.0000 0.0000 0.0000
```

Summary:
Its formation energy from the elements is 0.03 eV/atom. The value obtained for the final energy is -0.1859 hartree per atom. As for the volume: 1768.6 Å³ per cell.


[8]
TbThPdRh | PBE | optimized geometry

Geometry as CIF:
```
data_TbThPdRh
_chemical_formula_sum 'Tb2 Th2 Pd2 Rh2'
_cell_length_a 4.236
_cell_length_b 3.847
_cell_length_c 11.314
_cell_angle_alpha 90.00
_cell_angle_beta 90.00
_cell_angle_gamma 90.00
_space_group_name_H-M_alt 'A m m 2'
_space_group_IT_number 38
_space_group_name_Hall 'A 2 -2'
loop_
_atom_site_label
_atom_site_type_symbol
_atom_site_fract_x
_atom_site_fract_y
_atom_site_fract_z
Tb1 Tb 0.000 0.000 0.000
Th1 Th 0.500 0.000 0.725
Pd1 Pd 0.500 0.000 0.447
Rh1 Rh 0.000 0.000 0.260
```

Summary:
The calculation puts the energy relative to the lowest polymorph listed for this composition at 0.0 kJ per mole of atoms. Its formation energy from the elements is -0.91 eV/atom. The value obtained for the final energy is -0.2594 hartree per atom. As for the volume: 184.4 Å³ per cell.


[9]
La4FeHg2 | PBE | optimized geometry

Geometry as CIF:
```
data_La4FeHg2
_chemical_formula_sum 'La8 Fe2 Hg4'
_cell_length_a 5.146
_cell_length_b 5.146
_cell_length_c 16.381
_cell_angle_alpha 90.00
_cell_angle_beta 90.00
_cell_angle_gamma 90.00
_space_group_name_H-M_alt 'I 4/m m m'
_space_group_IT_number 139
_space_group_name_Hall '-I 4 2'
loop_
_atom_site_label
_atom_site_type_symbol
_atom_site_fract_x
_atom_site_fract_y
_atom_site_fract_z
La1 La 0.000 0.000 0.175
La2 La 0.000 0.500 0.000
Fe1 Fe 0.000 0.000 0.000
Hg1 Hg 0.000 0.000 0.365
```

Summary:
Its formation energy from the elements is -0.20 eV/atom. The value obtained for the final energy is -0.1585 hartree per atom. As for the volume: 433.8 Å³ per cell.


[10]
Sc2OF | PBE | optimized geometry

Geometry as CIF:
```
data_Sc2OF
_chemical_formula_sum 'Sc6 O3 F3'
_cell_length_a 3.2211
_cell_length_b 3.2211
_cell_length_c 20.0175
_cell_angle_alpha 90.00
_cell_angle_beta 90.00
_cell_angle_gamma 120.00
_space_group_name_H-M_alt 'R -3 m'
_space_group_IT_number 166
_space_group_name_Hall '-R 3 2"'
loop_
_atom_site_label
_atom_site_type_symbol
_atom_site_fract_x
_atom_site_fract_y
_atom_site_fract_z
Sc1 Sc 0.0000 0.0000 0.1016
O1 O 0.0000 0.0000 0.5000
F1 F 0.0000 0.0000 0.0000
```

Summary:
The calculation puts the energy relative to the lowest polymorph listed for this composition at 0.4 kJ per mole of atoms. The value obtained for the final energy is -0.2689 hartree per atom. For the uncorrected formation energy, the calculation gives -2.445 eV per atom. As for the volume: 179.9 Å³ per cell.


[11]
Na2CaPbBr6 | PBE | optimized geometry

Geometry as CIF:
```
data_Na2CaPbBr6
_chemical_formula_sum 'Na6 Ca3 Pb3 Br18'
_cell_length_a 7.5363
_cell_length_b 7.5363
_cell_length_c 20.3404
_cell_angle_alpha 90.00
_cell_angle_beta 90.00
_cell_angle_gamma 120.00
_space_group_name_H-M_alt 'R 3'
_space_group_IT_number 146
_space_group_name_Hall 'R 3'
loop_
_atom_site_label
_atom_site_type_symbol
_atom_site_fract_x
_atom_site_fract_y
_atom_site_fract_z
Na1 Na 0.0000 0.0000 0.0000
Na2 Na 0.0000 0.0000 0.4967
Ca1 Ca 0.0000 0.0000 0.6934
Pb1 Pb 0.0000 0.0000 0.1959
Br1 Br 0.0051 0.7032 0.5997
Br2 Br 0.0259 0.3492 0.7637
```

Summary:
The value obtained for the final energy is -0.1227 hartree per atom. For the uncorrected formation energy, the calculation gives -1.501 eV per atom. As for the volume: 1000.5 Å³ per cell.


[12]
NaNpAg2O6 | PBE | optimized geometry

Geometry as CIF:
```
data_NaNpAg2O6
_chemical_formula_sum 'Na1 Np1 Ag2 O6'
_cell_length_a 5.490
_cell_length_b 5.662
_cell_length_c 6.041
_cell_angle_alpha 116.55
_cell_angle_beta 90.00
_cell_angle_gamma 115.17
_space_group_name_H-M_alt 'P 1'
_space_group_IT_number 1
_space_group_name_Hall 'P 1'
loop_
_atom_site_label
_atom_site_type_symbol
_atom_site_fract_x
_atom_site_fract_y
_atom_site_fract_z
Na1 Na 0.000 0.000 0.000
Np1 Np 0.488 0.933 0.434
Ag1 Ag 0.269 0.519 0.815
Ag2 Ag 0.812 0.574 0.394
O1 O 0.119 0.509 0.217
O2 O 0.298 0.089 0.687
O3 O 0.386 0.032 0.195
O4 O 0.605 0.784 0.648
O5 O 0.697 0.749 0.195
O6 O 0.852 0.378 0.600
```

Summary:
The value obtained for the final energy is -0.2333 hartree per atom. For the uncorrected formation energy, the calculation gives -1.378 eV per atom. As for the volume: 147.8 Å³ per cell.


Number 1: size of the total moment 0.0 μB/f.u., DOS(E_F) 10.92 states/eV per cell. Number 2: size of the total moment 0.0 μB/f.u., DOS(E_F) 5.59 states/eV per cell. Number 3: size of the total moment 0.4 μB/f.u., DOS(E_F) 4.42 states/eV per cell. Number 4: size of the total moment 0.0 μB/f.u., DOS(E_F) 0.88 states/eV per cell. Number 5: size of the total moment 0.9 μB/f.u., DOS(E_F) 19.91 states/eV per cell. Number 6: size of the total moment 0.0 μB/f.u., DOS(E_F) 34.32 states/eV per cell. Number 7: size of the total moment 6.5 μB/f.u., DOS(E_F) 95.81 states/eV per cell. Number 8: size of the total moment 0.0 μB/f.u., DOS(E_F) 5.66 states/eV per cell. Number 9: size of the total moment 0.0 μB/f.u., DOS(E_F) 22.65 states/eV per cell. Number 10: size of the total moment 0.0 μB/f.u., DOS(E_F) 8.75 states/eV per cell. Number 11: size of the total moment 0.0 μB/f.u., DOS(E_F) 0.00 states/eV per cell. Number 12: size of the total moment 0.0 μB/f.u., DOS(E_F) 0.34 states/eV per cell.